# 1
This record from Alexandria describes MgCr2P after structural relaxation. The functional is PBE.

Output
- energy (eV per formula unit) = -25.275
- crystal system = cubic
- ΔE to the lowest computed polymorph (eV per atom) = 0.236
- formation energy (eV per atom) = 0.244

The structure in extended XYZ format:
```
4
Lattice="0.000 2.973 2.973 2.973 0.000 2.973 2.973 2.973 0.000" Properties=species:S:1:pos:R:3 pbc="T T T"
Mg 0.000 0.000 0.000
Cr 1.487 1.487 1.487
Cr 4.460 4.460 4.460
P 2.973 2.973 2.973
```

---

# 2
This record from Alexandria describes MgCrP2 after structural relaxation. The functional is PBE.

Output
- energy (eV per formula unit) = -22.316
- crystal system = orthorhombic
- ΔE to the lowest computed polymorph (eV per atom) = 0.218
- formation energy (eV per atom) = -0.070

The structure in extended XYZ format:
```
4
Lattice="4.375 0.000 0.000 0.000 1.641 4.231 0.000 -1.641 4.231" Properties=species:S:1:pos:R:3 pbc="T T T"
Mg 0.000 0.000 0.000
Cr 2.187 0.000 3.043
P 0.000 0.000 2.379
P 2.187 0.000 5.411
```

---

# 3
This record from Alexandria describes MgCrP after structural relaxation. The functional is PBE.

Output
- energy (eV per formula unit) = -16.942
- crystal system = hexagonal
- formation energy (eV per atom) = -0.105

The structure in extended XYZ format:
```
3
Lattice="3.854 0.000 0.000 -1.927 3.337 0.000 0.000 0.000 3.639" Properties=species:S:1:pos:R:3 pbc="T T T"
Mg 0.000 0.000 0.000
Cr 1.927 1.112 1.819
P 0.000 2.225 1.819
```

---

# 4
This record from Alexandria describes MgCr2P after structural relaxation. The functional is PBE.

Output
- energy (eV per formula unit) = -25.433
- crystal system = orthorhombic
- ΔE to the lowest computed polymorph (eV per atom) = 0.197
- formation energy (eV per atom) = 0.205

The structure in extended XYZ format:
```
4
Lattice="1.627 -2.255 0.000 1.627 2.255 0.000 0.000 0.000 7.634" Properties=species:S:1:pos:R:3 pbc="T T T"
Mg 0.000 0.000 0.000
Cr 1.627 0.000 2.281
Cr 1.627 0.000 5.353
P 0.000 0.000 3.817
```

---

# 5
This record from Alexandria describes MgCrPS2 after structural relaxation. The functional is PBE.

Output
- energy (eV per formula unit) = -24.863
- crystal system = tetragonal
- E_form (uncorrected) (eV/atom) = 0.00
- ΔE to the lowest computed polymorph (eV per atom) = 0.000

The structure in extended XYZ format:
```
5
Lattice="4.645 0.000 0.000 0.000 4.645 0.000 0.000 0.000 4.436" Properties=species:S:1:pos:R:3 pbc="T T T"
Mg 0.000 0.000 0.000
Cr 2.322 2.322 2.218
P 2.322 2.322 0.000
S 0.000 2.322 2.218
S 2.322 0.000 2.218
```

---

# 6
This record from Alexandria describes MgCrPS2 after structural relaxation. The functional is PBE.

Output
- energy (eV per formula unit) = -19.595
- crystal system = tetragonal
- E_form (uncorrected) (eV/atom) = 1.06
- ΔE to the lowest computed polymorph (eV per atom) = 1.054

The structure in extended XYZ format:
```
5
Lattice="4.668 0.000 0.000 0.000 4.668 0.000 0.000 0.000 4.745" Properties=species:S:1:pos:R:3 pbc="T T T"
Mg 0.000 0.000 0.000
Cr 2.334 2.334 2.373
P 0.000 0.000 2.373
S 0.000 2.334 0.000
S 2.334 0.000 0.000
```

---

# 7
This record from Alexandria describes MgScCr2P after structural relaxation. The functional is PBE.

Output
- energy (eV per formula unit) = -27.077
- crystal system = tetragonal
- formation energy (eV per atom) = 1.101

The structure in extended XYZ format:
```
5
Lattice="4.847 0.000 0.000 0.000 4.847 0.000 0.000 0.000 4.661" Properties=species:S:1:pos:R:3 pbc="T T T"
Mg 0.000 0.000 0.000
Sc 2.424 2.424 2.330
Cr 0.000 2.424 0.000
Cr 2.424 0.000 0.000
P 0.000 0.000 2.330
```

---

# 8
This record from Alexandria describes MgCrSi2P after structural relaxation. The functional is PBE.

Output
- energy (eV per formula unit) = -23.621
- crystal system = tetragonal
- E_form (uncorrected) (eV/atom) = 0.77

The structure in extended XYZ format:
```
5
Lattice="4.469 0.000 0.000 0.000 4.469 0.000 0.000 0.000 5.147" Properties=species:S:1:pos:R:3 pbc="T T T"
Mg 0.000 0.000 0.000
Cr 0.000 0.000 2.574
Si 0.000 2.235 2.574
Si 2.235 0.000 2.574
P 2.235 2.235 0.000
```

---

# 9
This record from Alexandria describes SrMgCrP2 after structural relaxation. The functional is PBE.

Output
- energy (eV per formula unit) = -21.968
- crystal system = tetragonal
- formation energy (eV per atom) = 0.350

The structure in extended XYZ format:
```
5
Lattice="4.969 0.000 0.000 0.000 4.969 0.000 0.000 0.000 4.913" Properties=species:S:1:pos:R:3 pbc="T T T"
Sr 0.000 0.000 0.000
Mg 2.484 2.484 2.456
Cr 2.484 2.484 0.000
P 0.000 2.484 2.456
P 2.484 0.000 2.456
```

---

# 10
This record from Alexandria describes MgZrCr2P after structural relaxation. The functional is PBE.

Output
- energy (eV per formula unit) = -29.335
- crystal system = tetragonal
- formation energy (eV per atom) = 1.093

The structure in extended XYZ format:
```
5
Lattice="4.922 0.000 0.000 0.000 4.922 0.000 0.000 0.000 4.954" Properties=species:S:1:pos:R:3 pbc="T T T"
Mg 0.000 0.000 0.000
Zr 2.461 2.461 2.477
Cr 0.000 2.461 2.477
Cr 2.461 0.000 2.477
P 2.461 2.461 0.000
```

---

# 11
This record from Alexandria describes MgPaCr2Se6 after structural relaxation. The functional is PBE.

Output
- energy (eV per formula unit) = -59.906
- crystal system = trigonal
- E_form (uncorrected) (eV/atom) = -0.87

The structure in extended XYZ format:
```
10
Lattice="3.345 1.931 6.095 -3.345 1.931 6.095 0.000 -3.863 6.095" Properties=species:S:1:pos:R:3 pbc="T T T"
Mg 0.000 0.000 0.000
Pa 0.000 0.000 9.083
Cr 0.000 0.000 5.676
Cr 0.000 0.000 14.835
Se -1.191 -1.756 7.277
Se -2.470 -0.060 10.380
Se -0.925 1.909 7.277
Se 1.287 -2.109 10.380
Se 2.116 -0.153 7.277
Se 1.183 2.169 10.380
```

---

# 12
This record from Alexandria describes MgPaCrTc after structural relaxation. The functional is PBE.

Output
- energy (eV per formula unit) = -30.626
- crystal system = cubic
- formation energy (eV per atom) = 0.114

The structure in extended XYZ format:
```
4
Lattice="0.000 3.280 3.280 3.280 0.000 3.280 3.280 3.280 0.000" Properties=species:S:1:pos:R:3 pbc="T T T"
Mg 0.000 0.000 0.000
Pa 3.280 3.280 3.280
Cr 1.640 1.640 1.640
Tc 4.919 4.919 4.919
```

---

# 13
This record from Alexandria describes MgCr3Pb after structural relaxation. The functional is PBE.

Output
- energy (eV per formula unit) = -26.866
- crystal system = cubic
- ΔE to the lowest computed polymorph (eV per atom) = 0.072
- formation energy (eV per atom) = 1.461

The structure in extended XYZ format:
```
5
Lattice="5.003 0.000 0.000 0.000 5.003 0.000 0.000 0.000 5.003" Properties=species:S:1:pos:R:3 pbc="T T T"
Mg 0.000 0.000 0.000
Cr 0.000 0.000 2.501
Cr 0.000 2.501 0.000
Cr 2.501 0.000 0.000
Pb 2.501 2.501 2.501
```

---

# 14
This record from Alexandria describes MgCrPb4 after structural relaxation. The functional is PBE.

Output
- energy (eV per formula unit) = -22.963
- crystal system = cubic
- formation energy (eV per atom) = 0.515

The structure in extended XYZ format:
```
6
Lattice="0.000 4.536 4.536 4.536 0.000 4.536 4.536 4.536 0.000" Properties=species:S:1:pos:R:3 pbc="T T T"
Mg 0.000 0.000 0.000
Cr 2.268 2.268 2.268
Pb 5.667 3.404 3.404
Pb 3.404 5.667 3.404
Pb 3.404 3.404 5.667
Pb 5.667 5.667 5.667
```

---

# 15
This record from Alexandria describes MgCr3Pb after structural relaxation. The functional is PBE.

Output
- energy (eV per formula unit) = -27.226
- crystal system = cubic
- ΔE to the lowest computed polymorph (eV per atom) = 0.000
- formation energy (eV per atom) = 1.389

The structure in extended XYZ format:
```
5
Lattice="5.259 0.000 0.000 0.000 5.259 0.000 0.000 0.000 5.259" Properties=species:S:1:pos:R:3 pbc="T T T"
Mg 0.000 0.000 0.000
Cr 0.000 2.630 2.630
Cr 2.630 0.000 2.630
Cr 2.630 2.630 0.000
Pb 2.630 2.630 2.630
```

---

# 16
This record from Alexandria describes MgCr4Pb after structural relaxation. The functional is PBE.

Output
- energy (eV per formula unit) = -40.693
- crystal system = cubic
- formation energy (eV per atom) = 0.517

The structure in extended XYZ format:
```
6
Lattice="0.000 3.544 3.544 3.544 0.000 3.544 3.544 3.544 0.000" Properties=species:S:1:pos:R:3 pbc="T T T"
Mg 0.000 0.000 0.000
Cr 2.642 2.642 2.642
Cr 4.446 4.446 2.642
Cr 4.446 2.642 4.446
Cr 2.642 4.446 4.446
Pb 5.316 5.316 5.316
```

---

# 17
This record from Alexandria describes RbMg2CrPb after structural relaxation. The functional is PBE.

Output
- energy (eV per formula unit) = -13.398
- crystal system = tetragonal
- formation energy (eV per atom) = 0.818

The structure in extended XYZ format:
```
5
Lattice="5.519 0.000 0.000 0.000 5.519 0.000 0.000 0.000 6.948" Properties=species:S:1:pos:R:3 pbc="T T T"
Rb 0.000 0.000 0.000
Mg 0.000 2.760 3.474
Mg 2.760 0.000 3.474
Cr 2.760 2.760 0.000
Pb 0.000 0.000 3.474
```

---

# 18
This record from Alexandria describes MgCr2PbSe after structural relaxation. The functional is PBE.

Output
- energy (eV per formula unit) = -23.228
- crystal system = tetragonal
- E_form (uncorrected) (eV/atom) = 0.96

The structure in extended XYZ format:
```
5
Lattice="5.172 0.000 0.000 0.000 5.172 0.000 0.000 0.000 4.947" Properties=species:S:1:pos:R:3 pbc="T T T"
Mg 0.000 0.000 0.000
Cr 0.000 2.586 0.000
Cr 2.586 0.000 0.000
Pb 2.586 2.586 2.474
Se 0.000 0.000 2.474
```

---

# 19
This record from Alexandria describes MgCrTe2Pb after structural relaxation. The functional is PBE.

Output
- energy (eV per formula unit) = -17.265
- crystal system = tetragonal
- E_form (uncorrected) (eV/atom) = 0.79

The structure in extended XYZ format:
```
5
Lattice="6.044 0.000 0.000 0.000 6.044 0.000 0.000 0.000 5.210" Properties=species:S:1:pos:R:3 pbc="T T T"
Mg 0.000 0.000 0.000
Cr 3.022 3.022 0.000
Te 0.000 3.022 2.605
Te 3.022 0.000 2.605
Pb 0.000 0.000 2.605
```

---

# 20
This record from Alexandria describes MgCr2Pd9 after structural relaxation. The functional is PBE.

Output
- energy (eV per formula unit) = -70.101
- crystal system = tetragonal
- formation energy (eV per atom) = -0.210

The structure in extended XYZ format:
```
12
Lattice="3.920 0.000 0.000 0.000 3.920 0.000 0.000 0.000 11.844" Properties=species:S:1:pos:R:3 pbc="T T T"
Mg 0.000 0.000 0.000
Cr 0.000 0.000 3.972
Cr 0.000 0.000 7.872
Pd 0.000 1.960 2.034
Pd 0.000 1.960 5.922
Pd 0.000 1.960 9.810
Pd 1.960 0.000 2.034
Pd 1.960 0.000 5.922
Pd 1.960 0.000 9.810
Pd 1.960 1.960 0.000
Pd 1.960 1.960 3.976
Pd 1.960 1.960 7.868
```

---

# 21
This record from Alexandria describes Mg2CrPd8 after structural relaxation. The functional is PBE.

Output
- energy (eV per formula unit) = -58.103
- crystal system = monoclinic
- formation energy (eV per atom) = -0.341

The structure in extended XYZ format:
```
11
Lattice="7.044 -2.021 0.000 7.044 2.021 0.000 -1.738 0.000 5.990" Properties=species:S:1:pos:R:3 pbc="T T T"
Mg 2.870 0.000 0.911
Mg 9.480 0.000 5.079
Cr 6.175 0.000 2.995
Pd 0.186 0.000 1.373
Pd 0.781 0.000 4.111
Pd 3.522 0.000 3.518
Pd 5.634 0.000 0.288
Pd 6.717 0.000 5.702
Pd 8.828 0.000 2.472
Pd 11.570 0.000 1.880
Pd 12.164 0.000 4.617
```

---

# 22
This record from Alexandria describes MgCrPd14 after structural relaxation. The functional is PBE.

Output
- energy (eV per formula unit) = -86.177
- crystal system = tetragonal
- formation energy (eV per atom) = -0.141

The structure in extended XYZ format:
```
16
Lattice="5.575 0.000 0.000 0.000 5.575 0.000 0.000 0.000 7.879" Properties=species:S:1:pos:R:3 pbc="T T T"
Mg 0.000 0.000 0.000
Cr 2.788 2.788 0.000
Pd 0.000 0.000 3.940
Pd 0.000 2.788 0.000
Pd 0.000 2.788 3.940
Pd 1.405 1.405 1.937
Pd 1.405 1.405 5.942
Pd 1.405 4.170 1.937
Pd 1.405 4.170 5.942
Pd 2.788 0.000 0.000
Pd 2.788 0.000 3.940
Pd 2.788 2.788 3.940
Pd 4.170 1.405 1.937
Pd 4.170 1.405 5.942
Pd 4.170 4.170 1.937
Pd 4.170 4.170 5.942
```

---

# 23
This record from Alexandria describes MgCrPd6 after structural relaxation. The functional is PBE.

Output
- energy (eV per formula unit) = -44.604
- crystal system = tetragonal
- ΔE to the lowest computed polymorph (eV per atom) = 0.000
- formation energy (eV per atom) = -0.279

The structure in extended XYZ format:
```
8
Lattice="3.929 0.000 0.000 0.000 3.929 0.000 0.000 0.000 7.916" Properties=species:S:1:pos:R:3 pbc="T T T"
Mg 0.000 0.000 0.000
Cr 0.000 0.000 3.958
Pd 0.000 1.964 2.030
Pd 0.000 1.964 5.886
Pd 1.964 0.000 2.030
Pd 1.964 0.000 5.886
Pd 1.964 1.964 0.000
Pd 1.964 1.964 3.958
```

---

# 24
This record from Alexandria describes MgCrPd6 after structural relaxation. The functional is PBE.

Output
- energy (eV per formula unit) = -43.573
- crystal system = triclinic
- ΔE to the lowest computed polymorph (eV per atom) = 0.129
- formation energy (eV per atom) = -0.150

The structure in extended XYZ format:
```
8
Lattice="5.033 0.000 0.000 -0.369 5.039 0.000 -0.341 -0.410 5.065" Properties=species:S:1:pos:R:3 pbc="T T T"
Mg 0.000 0.000 0.000
Cr 2.161 2.314 2.533
Pd -0.185 3.587 2.313
Pd 0.742 2.355 4.788
Pd 2.045 -0.066 3.795
Pd 2.278 4.695 1.270
Pd 3.580 2.273 0.277
Pd 4.507 1.042 2.753
```

---

# 25
This record from Alexandria describes Mg2CrPd9 after structural relaxation. The functional is PBE.

Output
- energy (eV per formula unit) = -63.663
- crystal system = tetragonal
- formation energy (eV per atom) = -0.343

The structure in extended XYZ format:
```
12
Lattice="3.940 0.000 0.000 0.000 3.940 0.000 0.000 0.000 11.897" Properties=species:S:1:pos:R:3 pbc="T T T"
Mg 0.000 0.000 1.985
Mg 0.000 0.000 9.912
Cr 0.000 0.000 5.948
Pd 0.000 1.970 0.000
Pd 0.000 1.970 4.024
Pd 0.000 1.970 7.873
Pd 1.970 0.000 0.000
Pd 1.970 0.000 4.024
Pd 1.970 0.000 7.873
Pd 1.970 1.970 2.011
Pd 1.970 1.970 5.948
Pd 1.970 1.970 9.885
```

---

# 26
This record from Alexandria describes Mg2CrPd after structural relaxation. The functional is PBE.

Output
- energy (eV per formula unit) = -15.735
- crystal system = tetragonal
- formation energy (eV per atom) = 0.568

The structure in extended XYZ format:
```
8
Lattice="-3.570 3.570 2.725 3.570 -3.570 2.725 3.570 3.570 -2.725" Properties=species:S:1:pos:R:3 pbc="T T T"
Mg 5.356 1.688 -0.681
Mg 1.688 1.785 0.681
Mg -1.785 1.882 2.044
Mg 1.882 1.785 3.406
Cr 3.570 0.000 1.362
Cr 0.000 0.000 2.725
Pd 0.000 0.000 0.000
Pd 0.000 3.570 1.362
```